VAuO2 GGA+U relaxed; space-group type = Pm, No. 6; uncorrected energy = -24.38 eV/cell
1.0
3.757 0.000 0.000
0.000 3.011 0.000
-0.177 0.000 5.717
V Au O
1 1 2
Direct
0.000 0.000 0.000 V
0.053 0.500 0.601 Au
0.077 0.500 0.176 O
0.556 0.000 0.959 O